Below is SrNiB after structural relaxation, with properties calculated at the PBE level.

electronic total energy	-11.1	eV per formula unit

Cell lengths 4.3280, 4.3280, 4.3280 Å; angles 60.00, 60.00, 60.00 degrees
Last column: nearest neighbours and their distance in Å.
Element x y z (fractional)
Sr (0.0000, 0.0000, 0.0000)  4 Ni 2.65
Ni (0.7500, 0.7500, 0.7500)  4 B 2.65, 4 Sr 2.65
B (0.5000, 0.5000, 0.5000)  4 Ni 2.65